A relaxed Tb7Sm2Sc crystal, computed with PBE-GGA.

```
Tb7Sm2Sc
1.0
3.456 0.000 0.000
0.000 13.910 -4.736
0.000 -10.502 10.277
Sm Tb Sc
2 7 1
Direct
0.500 0.294 0.706
0.500 0.706 0.294
0.000 0.185 0.815
0.500 0.339 0.147
0.500 0.500 0.500
0.000 0.815 0.185
0.500 0.147 0.339
0.500 0.661 0.853
0.500 0.853 0.661
0.000 0.000 0.000
```

=====

A relaxed Tb3Sm4Sc2 crystal, computed with PBE-GGA.

```
Tb3Sm4Sc2
1.0
-4.058 -5.510 1.205
-0.260 -1.884 -9.461
6.600 -5.755 -4.056
Sm Tb Sc
8 6 4
Direct
0.000 0.169 0.507
0.500 0.507 0.169
0.000 0.822 0.156
0.500 0.493 0.831
0.500 0.844 0.178
0.000 0.831 0.493
0.500 0.156 0.822
0.000 0.178 0.844
0.250 0.174 0.174
0.750 0.174 0.174
0.750 0.500 0.500
0.250 0.826 0.826
0.250 0.500 0.500
0.750 0.826 0.826
0.500 0.164 0.492
0.000 0.492 0.164
0.000 0.508 0.836
0.500 0.836 0.508
```

=====

A relaxed TbSm10Sc4 crystal, computed with PBE-GGA.

```
TbSm10Sc4
1.0
7.546 0.000 3.407
3.773 7.852 1.704
0.542 0.000 8.860
Sm Sc Tb
10 4 1
Direct
0.921 0.658 0.112
0.966 0.112 0.342
0.579 0.112 0.342
0.079 0.342 0.888
0.308 0.658 0.112
0.421 0.888 0.658
0.750 0.500 0.500
0.034 0.888 0.658
0.250 0.500 0.500
0.692 0.342 0.888
0.564 0.150 0.721
0.714 0.721 0.850
0.436 0.850 0.279
0.286 0.279 0.150
0.000 0.000 0.000
```

=====

A relaxed Tb12SmSc7 crystal, computed with PBE-GGA.

```
Tb12SmSc7
1.0
8.990 0.000 -3.179
-4.495 7.786 -3.179
0.000 0.000 9.536
Tb Sc Sm
12 7 1
Direct
0.264 0.736 0.001
0.736 0.001 0.264
0.999 0.736 0.264
0.472 0.736 0.736
0.264 0.528 0.264
0.736 0.264 0.999
0.736 0.736 0.472
0.264 0.999 0.736
0.528 0.264 0.264
0.264 0.264 0.528
0.736 0.472 0.736
0.001 0.264 0.736
0.000 0.500 0.500
0.000 0.500 0.000
0.000 0.000 0.500
0.500 0.500 0.000
0.500 0.000 0.500
0.500 0.000 0.000
0.500 0.500 0.500
0.000 0.000 0.000
```

=====

A relaxed Tb4Sm3Sc2 crystal, computed with PBE-GGA.

```
Tb4Sm3Sc2
1.0
6.312 1.847 1.322
2.743 10.993 1.760
2.743 5.208 9.840
Tb Sm Sc
8 6 4
Direct
0.487 0.434 0.187
0.985 0.201 0.829
0.015 0.799 0.171
0.513 0.566 0.813
0.013 0.813 0.566
0.515 0.171 0.799
0.485 0.829 0.201
0.987 0.187 0.434
0.436 0.201 0.101
0.250 0.509 0.491
0.936 0.101 0.201
0.564 0.799 0.899
0.064 0.899 0.799
0.750 0.491 0.509
0.461 0.119 0.545
0.961 0.545 0.119
0.539 0.881 0.455
0.039 0.455 0.881
```

=====

A relaxed Tb5Sm2Sc5 crystal, computed with PBE-GGA.

```
Tb5Sm2Sc5
1.0
-3.473 2.862 -3.102
-2.721 -4.267 3.925
2.318 9.630 6.292
Sm Tb Sc
2 5 5
Direct
0.090 0.180 0.733
0.910 0.820 0.267
0.344 0.689 0.003
0.656 0.311 0.997
0.398 0.796 0.736
0.602 0.204 0.264
0.500 0.000 0.500
0.177 0.353 0.474
0.760 0.521 0.771
0.000 0.000 0.000
0.823 0.647 0.526
0.240 0.479 0.229
```

=====

A relaxed Tb4Sm2Sc crystal, computed with PBE-GGA.

```
Tb4Sm2Sc
1.0
-4.149 -2.269 3.781
-3.641 -1.881 -5.125
7.207 -8.719 -1.920
Tb Sm Sc
8 4 2
Direct
0.356 0.007 0.714
0.644 0.507 0.286
0.968 0.250 0.133
0.644 0.993 0.286
0.151 0.750 0.442
0.032 0.750 0.867
0.356 0.493 0.714
0.849 0.250 0.558
0.391 0.250 0.000
0.280 0.250 0.423
0.609 0.750 0.000
0.720 0.750 0.577
0.146 0.750 0.162
0.854 0.250 0.838
```

=====

A relaxed TbSmSc4 crystal, computed with PBE-GGA.

```
TbSmSc4
1.0
3.398 0.000 0.000
-1.699 8.782 0.000
0.000 0.000 10.902
Sc Sm Tb
8 2 2
Direct
0.996 0.993 0.769
0.551 0.103 0.020
0.895 0.790 0.014
0.338 0.676 0.775
0.449 0.897 0.520
0.105 0.210 0.514
0.004 0.007 0.269
0.662 0.324 0.275
0.780 0.560 0.521
0.220 0.440 0.021
0.338 0.675 0.262
0.662 0.325 0.762
```

=====

A relaxed Tb8Sm3Sc2 crystal, computed with PBE-GGA.

```
Tb8Sm3Sc2
1.0
-6.070 -3.000 -0.259
-0.515 -8.456 -4.012
-1.221 -7.806 5.042
Sm Tb Sc
3 8 2
Direct
0.500 0.000 0.000
0.000 0.173 0.827
0.000 0.827 0.173
0.551 0.559 0.198
0.449 0.441 0.802
0.551 0.198 0.559
0.961 0.408 0.408
0.039 0.592 0.592
0.014 0.192 0.192
0.986 0.808 0.808
0.449 0.802 0.441
0.517 0.203 0.203
0.483 0.797 0.797
```

=====

A relaxed TbSm6Sc crystal, computed with PBE-GGA.

```
TbSm6Sc
1.0
5.056 0.000 0.000
0.000 5.056 0.000
0.000 0.000 10.096
Sm Tb Sc
6 1 1
Direct
0.500 0.000 0.745
0.000 0.500 0.745
0.500 0.500 0.000
0.500 0.000 0.255
0.000 0.500 0.255
0.500 0.500 0.500
0.000 0.000 0.000
0.000 0.000 0.500
```

=====

A relaxed Tb7SmSc3 crystal, computed with PBE-GGA.

```
Tb7SmSc3
1.0
-7.236 1.174 -3.806
1.623 -4.981 -4.622
-3.368 -1.663 5.890
Tb Sm Sc
7 1 3
Direct
0.118 0.667 0.333
0.103 0.168 0.335
0.103 0.665 0.832
0.103 0.168 0.832
0.463 0.832 0.665
0.463 0.832 0.168
0.463 0.335 0.168
0.447 0.333 0.667
0.784 0.501 0.499
0.784 0.999 0.499
0.784 0.501 0.001
```

=====

A relaxed TbSm12Sc7 crystal, computed with PBE-GGA.

```
TbSm12Sc7
1.0
9.129 -0.168 -0.252
-2.700 8.722 -0.252
-2.700 -3.592 7.952
Sc Sm Tb
7 12 1
Direct
0.000 0.898 0.315
0.102 0.685 0.000
0.000 0.102 0.685
0.315 0.000 0.898
0.500 0.500 0.500
0.898 0.315 0.000
0.685 0.000 0.102
0.675 0.375 0.204
0.297 0.409 0.061
0.061 0.297 0.409
0.591 0.939 0.703
0.796 0.325 0.625
0.703 0.591 0.939
0.625 0.796 0.325
0.939 0.703 0.591
0.204 0.675 0.375
0.409 0.061 0.297
0.325 0.625 0.796
0.375 0.204 0.675
0.000 0.000 0.000
```

=====

A relaxed TbSm3Sc3 crystal, computed with PBE-GGA.

```
TbSm3Sc3
1.0
-4.423 1.584 7.138
-8.137 -2.481 0.817
-2.201 -6.297 5.342
Sm Tb Sc
6 2 6
Direct
0.284 0.434 0.929
0.071 0.716 0.566
0.434 0.929 0.284
0.716 0.566 0.071
0.929 0.284 0.434
0.566 0.071 0.716
0.654 0.654 0.654
0.346 0.346 0.346
0.831 0.061 0.276
0.724 0.169 0.939
0.169 0.939 0.724
0.061 0.276 0.831
0.276 0.831 0.061
0.939 0.724 0.169
```

=====

A relaxed Tb4Sm11Sc9 crystal, computed with PBE-GGA.

```
Tb4Sm11Sc9
1.0
3.527 0.000 0.000
0.000 13.739 -6.256
0.000 -0.353 15.092
Sc Tb Sm
9 4 11
Direct
0.500 0.178 0.614
0.500 0.202 0.015
0.500 0.798 0.985
0.500 0.386 0.822
0.500 0.015 0.202
0.500 0.985 0.798
0.500 0.500 0.500
0.500 0.822 0.386
0.500 0.614 0.178
0.500 0.584 0.760
0.500 0.240 0.416
0.500 0.760 0.584
0.500 0.416 0.240
0.000 0.790 0.790
0.000 0.406 0.035
0.000 0.378 0.622
0.000 0.812 0.188
0.000 0.210 0.210
0.000 0.594 0.965
0.000 0.622 0.378
0.000 0.000 0.000
0.000 0.188 0.812
0.000 0.035 0.406
0.000 0.965 0.594
```

=====

A relaxed Tb3Sm2Sc crystal, computed with PBE-GGA.

```
Tb3Sm2Sc
1.0
-2.022 -1.004 5.683
3.676 -8.348 2.041
4.877 8.828 -3.322
Tb Sc Sm
6 2 4
Direct
0.373 0.376 0.748
0.710 0.377 0.419
0.290 0.623 0.581
0.958 0.632 0.918
0.627 0.624 0.252
0.042 0.368 0.082
0.123 0.126 0.247
0.877 0.874 0.753
0.464 0.121 0.917
0.213 0.876 0.417
0.787 0.124 0.583
0.536 0.879 0.083
```

=====

A relaxed Tb6Sm4Sc crystal, computed with PBE-GGA.

```
Tb6Sm4Sc
1.0
-3.389 3.702 4.189
3.991 -1.828 4.844
4.820 5.694 -6.235
Tb Sc Sm
6 1 4
Direct
0.514 0.514 0.657
0.500 0.000 0.000
0.000 0.500 0.000
0.857 0.486 0.343
0.143 0.143 0.657
0.486 0.857 0.343
0.500 0.500 0.000
0.046 0.689 0.735
0.689 0.046 0.735
0.954 0.954 0.265
0.311 0.311 0.265
```

=====

A relaxed Tb3SmSc3 crystal, computed with PBE-GGA.

```
Tb3SmSc3
1.0
7.534 0.404 3.900
2.547 7.102 3.900
0.542 0.404 8.466
Tb Sc Sm
6 6 2
Direct
0.279 0.432 0.933
0.568 0.067 0.721
0.721 0.568 0.067
0.067 0.721 0.568
0.432 0.933 0.279
0.933 0.279 0.432
0.062 0.276 0.832
0.938 0.724 0.168
0.276 0.832 0.062
0.724 0.168 0.938
0.832 0.062 0.276
0.168 0.938 0.724
0.652 0.652 0.652
0.348 0.348 0.348
```

=====

A relaxed Tb8Sm3Sc2 crystal, computed with PBE-GGA.

```
Tb8Sm3Sc2
1.0
-4.826 2.613 1.177
-0.348 -3.694 6.776
5.146 9.121 0.833
Tb Sm Sc
8 3 2
Direct
0.500 0.179 0.774
0.000 0.136 0.272
0.000 0.864 0.728
0.999 0.322 0.644
0.001 0.678 0.356
0.500 0.596 0.774
0.500 0.821 0.226
0.500 0.404 0.226
0.500 0.000 0.000
0.000 0.709 0.000
0.000 0.291 0.000
0.501 0.759 0.518
0.499 0.241 0.482
```

=====

What did we get for E_tot? Answer: -46.4, -89.7, -68.9, -91.3, -88.6, -63.0, -66.6, -68.8, -60.8, -39.0, -53.7, -102.4, -73.0, -125.3, -58.9, -49.9, -72.6, -60.8 eV for the cell shown, in the order shown.